PmSm2DyY: relaxed, GGA-PBE.

abc: 7.229 8.407 7.191
angles: 125.77 90.00 90.00
Fractional positions:
Pm 0.250 0.718 0.435
Pm 0.750 0.282 0.565
Sm 0.500 0.308 0.000
Sm 0.000 0.692 0.000
Sm 0.500 0.692 0.000
Sm 0.000 0.308 0.000
Dy 0.250 0.981 0.962
Dy 0.750 0.019 0.038
Y 0.750 0.739 0.478
Y 0.250 0.261 0.522

Results
Crystal system   orthorhombic
VASP energy   -4.66 eV/atom
Theoretical density   6.53 Mg/m³